First-principles (PBE) data for an optimized crystal structure of PmScAsS, as listed in Alexandria.

a b c (Å): 7.2140 7.2140 7.2140
angles (deg): 31.27 31.27 31.27
Fractional coordinates of all 4 atoms:
Pm 0.0000 0.0000 0.0000
Sc 0.8278 0.8278 0.8278
As 0.4234 0.4234 0.4234
S 0.2393 0.2393 0.2393

Calculated values
V = 89.8 Å³/cell
formation energy without anion corrections = -1.62 eV per atom
electronic total energy = -26.3 eV per cell

***

First-principles (PBE) data for an optimized crystal structure of Ho5RuAu4, as listed in Alexandria.

a b c (Å): 3.5184 3.5184 17.9572
angles (deg): 90.00 90.00 90.00
Fractional coordinates of all 10 atoms:
Ho 0.0000 0.0000 0.0000
Ho 0.0000 0.0000 0.2046
Ho 0.0000 0.0000 0.4083
Ho 0.0000 0.0000 0.5917
Ho 0.0000 0.0000 0.7954
Ru 0.5000 0.5000 0.5000
Au 0.5000 0.5000 0.1011
Au 0.5000 0.5000 0.3055
Au 0.5000 0.5000 0.6945
Au 0.5000 0.5000 0.8989

Calculated values
V = 222.3 Å³/cell
electronic total energy = -53.2 eV per cell
formation enthalpy at 0 K = -789 meV per atom

***

First-principles (PBE) data for an optimized crystal structure of ScTaNi2Br, as listed in Alexandria.

a b c (Å): 4.6398 4.6398 4.9035
angles (deg): 90.00 90.00 90.00
Fractional coordinates of all 5 atoms:
Sc 0.0000 0.0000 0.0000
Ta 0.5000 0.5000 0.5000
Ni 0.0000 0.5000 0.5000
Ni 0.5000 0.0000 0.5000
Br 0.5000 0.5000 0.0000

Calculated values
V = 105.6 Å³/cell
formation energy without anion corrections = 0.65 eV per atom
electronic total energy = -28.2 eV per cell